DFT (GGA-PBE) results for crystalline MgVS2 at its relaxed geometry.

- DOS at the Fermi energy: 0.821 states/eV per atom
- Space group: R-3m
- VASP energy: -5.471 eV/atom
- Calculated volume: 18.50 Å³/atom
- Magnetization: 0.27 μB per formula unit
- Calculated density: 3.13 g cm⁻³
- Crystal system: trigonal

Cell: 3.2496 3.2496 24.2745 Å, 90.00 90.00 120.00°
Sites, in units of the cell vectors:
Mg1 0.0000 0.0000 0.0000
Mg2 0.3333 0.6667 0.6667
Mg3 0.6667 0.3333 0.3333
V1 0.0000 0.0000 0.5000
V2 0.3333 0.6667 0.1667
V3 0.6667 0.3333 0.8333
S1 0.0000 0.0000 0.1070
S2 0.0000 0.0000 0.8930
S3 0.3333 0.6667 0.5596
S4 0.3333 0.6667 0.7737
S5 0.6667 0.3333 0.2263
S6 0.6667 0.3333 0.4404